# 1
The following is a DFT calculation (PBEsol) of crystalline CaLa3C at its relaxed geometry.

abc: 5.369 5.369 5.369
angles: 90.00 90.00 90.00
Sites, in units of the cell vectors:
Ca: 0.000 0.000 0.000
La: 0.000 0.000 0.500
La: 0.000 0.500 0.000
La: 0.500 0.000 0.000
C: 0.500 0.500 0.500

Values from the calculation:
Density of states at the Fermi level   5.57 states/eV/f.u.
Calculated volume   154.74 Å³ per cell
E_tot   -17.6 eV for the cell shown
SG   Pm-3m, No. 221



# 2
The following is a DFT calculation (PBEsol) of crystalline LiCdRu2 at its relaxed geometry.

abc: 2.772 3.643 5.775
angles: 90.00 90.00 90.00
Sites, in units of the cell vectors:
Li: 0.000 0.000 0.000
Cd: 0.500 0.500 0.762
Ru: 0.000 0.000 0.452
Ru: 0.500 0.500 0.265

Values from the calculation:
Density of states at the Fermi level   1.83 states/eV/f.u.
Calculated volume   58.30 Å³ per cell
E_tot   -23.0 eV for the cell shown
SG   Pmm2, No. 25